This record from Alexandria describes an optimized crystal structure of Rb2CaCdRe. The functional is PBE.

Unit cell a=6.633 b=5.415 c=6.633 alpha=90.00 beta=90.00 gamma=90.00
Positions (direct):
Re (0.000, 0.000, 0.000)
Ca (0.500, 0.500, 0.500)
Rb (0.000, 0.000, 0.500)
Rb (0.500, 0.000, 0.000)
Cd (0.000, 0.500, 0.000)

Computed properties:
Space-group type: No. 123
Uncorrected energy (eV per atom): -2.19
Size of the total moment (Bohr magnetons per cell): 2.68

***

This record from Alexandria describes an optimized crystal structure of RbCa2CdRh. The functional is PBE.

Unit cell a=5.525 b=5.525 c=5.563 alpha=90.00 beta=90.00 gamma=90.00
Positions (direct):
Ca (0.000, 0.500, 0.000)
Ca (0.500, 0.000, 0.000)
Rh (0.000, 0.000, 0.000)
Rb (0.500, 0.500, 0.500)
Cd (0.000, 0.000, 0.500)

Computed properties:
Space-group type: No. 123
Uncorrected energy (eV per atom): -2.80
Size of the total moment (Bohr magnetons per cell): 0.00

***

This record from Alexandria describes an optimized crystal structure of RbCaCd2Rh. The functional is PBE.

Unit cell a=5.448 b=5.448 c=5.257 alpha=90.00 beta=90.00 gamma=90.00
Positions (direct):
Ca (0.000, 0.000, 0.500)
Rh (0.000, 0.000, 0.000)
Rb (0.500, 0.500, 0.500)
Cd (0.000, 0.500, 0.000)
Cd (0.500, 0.000, 0.000)

Computed properties:
Space-group type: No. 123
Uncorrected energy (eV per atom): -2.58
Size of the total moment (Bohr magnetons per cell): 0.00

***

This record from Alexandria describes an optimized crystal structure of RbCaCdSb2. The functional is PBE.

Unit cell a=5.791 b=5.706 c=5.791 alpha=90.00 beta=90.00 gamma=90.00
Positions (direct):
Sb (0.000, 0.000, 0.500)
Sb (0.500, 0.000, 0.000)
Ca (0.000, 0.500, 0.000)
Rb (0.500, 0.500, 0.500)
Cd (0.000, 0.000, 0.000)

Computed properties:
Space-group type: No. 123
E_form (uncorrected) (eV/atom): 0.02
Uncorrected energy (eV per atom): -2.40
Size of the total moment (Bohr magnetons per cell): 0.00

***

This record from Alexandria describes an optimized crystal structure of Rb2CaCdSb2. The functional is PBE.

Unit cell a=7.237 b=7.408 c=10.018 alpha=111.70 beta=111.17 gamma=90.00
Positions (direct):
Rb (0.442, 0.177, 0.353)
Rb (0.558, 0.823, 0.647)
Rb (0.089, 0.323, 0.647)
Rb (0.911, 0.677, 0.353)
Ca (0.000, 0.750, 0.000)
Ca (0.000, 0.250, 0.000)
Cd (0.500, 0.750, 0.000)
Cd (0.500, 0.250, 0.000)
Sb (0.836, 0.098, 0.197)
Sb (0.361, 0.598, 0.197)
Sb (0.639, 0.402, 0.803)
Sb (0.164, 0.902, 0.803)

Computed properties:
Space-group type: No. 72
E_form (uncorrected) (eV/atom): -0.61
Uncorrected energy (eV per atom): -2.79
Size of the total moment (Bohr magnetons per cell): 0.00

***

This record from Alexandria describes an optimized crystal structure of Rb2CaCd2Se4. The functional is PBE.

Unit cell a=4.376 b=8.238 c=8.560 alpha=107.92 beta=104.81 gamma=90.00
Positions (direct):
Rb (0.124, 0.548, 0.247)
Rb (0.876, 0.452, 0.753)
Ca (0.000, 0.000, 0.000)
Cd (0.669, 0.979, 0.338)
Cd (0.331, 0.021, 0.662)
Se (0.206, 0.186, 0.411)
Se (0.794, 0.814, 0.589)
Se (0.515, 0.764, 0.030)
Se (0.485, 0.236, 0.970)

Computed properties:
Space-group type: No. 12
E_form (uncorrected) (eV/atom): -1.15
Uncorrected energy (eV per atom): -3.34
Size of the total moment (Bohr magnetons per cell): 0.00

***

This record from Alexandria describes an optimized crystal structure of Rb2SrCaCd. The functional is PBE.

Unit cell a=7.480 b=6.044 c=7.480 alpha=90.00 beta=90.00 gamma=90.00
Positions (direct):
Sr (0.500, 0.500, 0.500)
Ca (0.000, 0.000, 0.000)
Rb (0.000, 0.000, 0.500)
Rb (0.500, 0.000, 0.000)
Cd (0.000, 0.500, 0.000)

Computed properties:
Space-group type: No. 123
Uncorrected energy (eV per atom): -0.88
Size of the total moment (Bohr magnetons per cell): 0.00

***

This record from Alexandria describes an optimized crystal structure of RbSrCa2Cd. The functional is PBE.

Unit cell a=6.251 b=6.251 c=6.443 alpha=90.00 beta=90.00 gamma=90.00
Positions (direct):
Sr (0.000, 0.000, 0.500)
Ca (0.000, 0.500, 0.000)
Ca (0.500, 0.000, 0.000)
Rb (0.500, 0.500, 0.500)
Cd (0.000, 0.000, 0.000)

Computed properties:
Space-group type: No. 123
Uncorrected energy (eV per atom): -1.48
Size of the total moment (Bohr magnetons per cell): 0.00